Entry 1:
Sr2CCl PBE-GGA relaxed; space group = Fm-3m; E_tot = -3.751 eV per atom; formation energy (no corrections) = -0.143 eV/atom; density of states at the Fermi level = 4.30 states/eV/f.u.
1.0
-3.6512 -1.2385 3.2221
-4.8149 0.5575 -1.3240
-2.8514 -4.0451 -0.8682
Cl Sr C
1 2 1
Cartesian
-5.6588 -2.3631 0.5150 Cl
-2.8294 -1.1815 0.2575 Sr
-8.4882 -3.5446 0.7725 Sr
0.0000 0.0000 0.0000 C


Entry 2:
SrCCl2 PBE-GGA relaxed; space group = Fm-3m; E_tot = -3.595 eV per atom; formation energy (no corrections) = 0.055 eV/atom; density of states at the Fermi level = 5.63 states/eV/f.u.
1.0
0.0000 3.5609 3.5609
3.5609 0.0000 3.5609
3.5609 3.5609 0.0000
Cl C Sr
2 1 1
Cartesian
1.7805 1.7805 1.7805 Cl
5.3414 5.3414 5.3414 Cl
0.0000 0.0000 0.0000 C
3.5609 3.5609 3.5609 Sr


Entry 3:
SrCCl2 PBE-GGA relaxed; space group = I-42d; E_tot = -3.525 eV per atom; formation energy (no corrections) = 0.125 eV/atom; density of states at the Fermi level = 0.00 states/eV/f.u.
1.0
4.9419 0.0000 0.0000
0.0000 4.9419 0.0000
2.4709 2.4709 8.8261
Cl C Sr
4 2 2
Cartesian
3.6168 1.2355 2.2065 Cl
1.3251 3.7064 2.2065 Cl
6.1774 6.0877 6.6196 Cl
3.7064 3.7961 6.6196 Cl
2.4709 2.4709 0.0000 C
2.4709 4.9419 4.4131 C
4.9419 2.4709 4.4131 Sr
0.0000 0.0000 0.0000 Sr


Entry 4:
SrC3Cl PBE-GGA relaxed; space group = Pm-3m; E_tot = -2.799 eV per atom; formation energy (no corrections) = 3.441 eV/atom; density of states at the Fermi level = 7.37 states/eV/f.u.
1.0
5.3101 0.0000 0.0000
0.0000 5.3101 0.0000
0.0000 0.0000 5.3101
C Sr Cl
3 1 1
Cartesian
0.0000 0.0000 2.6551 C
2.6551 0.0000 0.0000 C
0.0000 2.6551 0.0000 C
0.0000 0.0000 0.0000 Sr
2.6551 2.6551 2.6551 Cl


Entry 5:
SrCCl2 PBE-GGA relaxed; space group = R-3m; E_tot = -3.653 eV per atom; formation energy (no corrections) = -0.003 eV/atom; density of states at the Fermi level = 0.00 states/eV/f.u.
1.0
2.6820 0.0000 7.3321
-1.3410 2.3227 7.3321
-1.3410 -2.3227 7.3321
Cl Sr C
2 1 1
Cartesian
0.0000 0.0000 2.4367 Cl
0.0000 0.0000 19.5596 Cl
0.0000 0.0000 10.9982 Sr
0.0000 0.0000 0.0000 C


Entry 6:
Ta2CCl PBE-GGA relaxed; space group = Fm-3m; E_tot = -8.030 eV per atom; formation energy (no corrections) = 0.664 eV/atom; density of states at the Fermi level = 3.86 states/eV/f.u.
1.0
0.0000 2.9700 2.9700
2.9700 0.0000 2.9700
2.9700 2.9700 0.0000
Ta Cl C
2 1 1
Cartesian
1.4850 1.4850 1.4850 Ta
4.4550 4.4550 4.4550 Ta
2.9700 2.9700 2.9700 Cl
0.0000 0.0000 0.0000 C


Entry 7:
Ta2C2Cl PBE-GGA relaxed; space group = P4/mbm; E_tot = -8.625 eV per atom; formation energy (no corrections) = 0.174 eV/atom; density of states at the Fermi level = 0.52 states/eV/f.u.
1.0
-5.0862 3.6463 -1.6392
0.8123 -1.6546 -6.2012
-1.7749 -2.3039 0.3822
C Ta Cl
4 4 2
Cartesian
-2.6577 -0.0234 -1.2262 C
-3.3911 -0.2889 -6.2319 C
-5.0075 1.4061 -3.5214 C
-1.0413 -1.7183 -3.9367 C
-3.1807 2.1203 -1.9892 Ta
-1.0932 -0.1286 -5.8512 Ta
-3.8001 2.0282 -5.4203 Ta
-0.4738 -0.0365 -2.4200 Ta
0.0000 0.0000 0.0000 Cl
-2.1369 0.9958 -3.9202 Cl


Entry 8:
Ta2CCl PBE-GGA relaxed; space group = I-42d; E_tot = -8.267 eV per atom; formation energy (no corrections) = 0.427 eV/atom; density of states at the Fermi level = 2.72 states/eV/f.u.
1.0
-1.9575 -4.1518 -1.5817
0.0933 -1.7665 4.5213
-6.4669 -0.7256 2.4567
Cl Ta C
2 4 2
Cartesian
0.0000 0.0000 0.0000 Cl
-4.6783 -3.9183 1.1724 Cl
-2.6501 -2.6188 0.3349 Ta
-5.5408 -2.9245 3.3569 Ta
-1.9815 -2.1828 3.0982 Ta
-6.4899 -5.5618 4.0027 Ta
-3.6529 -2.7256 4.2239 C
-0.9321 -2.9592 1.4698 C


Entry 9:
Ta3CCl PBE-GGA relaxed; space group = Pm-3m; E_tot = -8.704 eV per atom; formation energy (no corrections) = 0.622 eV/atom; density of states at the Fermi level = 7.68 states/eV/f.u.
1.0
4.3472 0.0000 0.0000
0.0000 4.3472 0.0000
0.0000 0.0000 4.3472
C Ta Cl
1 3 1
Cartesian
0.0000 0.0000 0.0000 C
2.1736 0.0000 0.0000 Ta
0.0000 2.1736 0.0000 Ta
0.0000 0.0000 2.1736 Ta
2.1736 2.1736 2.1736 Cl


Entry 10:
TaCCl3 PBE-GGA relaxed; space group = Pm-3m; E_tot = -4.496 eV per atom; formation energy (no corrections) = 0.828 eV/atom; density of states at the Fermi level = 4.65 states/eV/f.u.
1.0
4.8263 0.0000 0.0000
0.0000 4.8263 0.0000
0.0000 0.0000 4.8263
Cl Ta C
3 1 1
Cartesian
2.4131 0.0000 0.0000 Cl
0.0000 0.0000 2.4131 Cl
0.0000 2.4131 0.0000 Cl
0.0000 0.0000 0.0000 Ta
2.4131 2.4131 2.4131 C


Entry 11:
Ta2C2Cl PBE-GGA relaxed; space group = I4/mmm; E_tot = -8.565 eV per atom; formation energy (no corrections) = 0.235 eV/atom; density of states at the Fermi level = 3.10 states/eV/f.u.
1.0
-0.7356 -3.4381 1.5295
-0.7924 -1.3820 -3.4876
4.2825 -3.7616 -1.5900
Ta C Cl
2 2 1
Cartesian
1.8138 -5.7151 -2.3626 Ta
0.9407 -2.8666 -1.1854 Ta
1.3631 -3.7768 -3.0283 C
1.3915 -4.8049 -0.5198 C
0.0000 0.0000 0.0000 Cl


Entry 12:
TaCCl3 PBE-GGA relaxed; space group = Pm-3m; E_tot = -3.767 eV per atom; formation energy (no corrections) = 1.557 eV/atom; density of states at the Fermi level = 3.24 states/eV/f.u.
1.0
-3.2150 -2.7930 -1.1067
2.8615 -3.3406 0.1180
-0.9151 -0.6335 4.2571
C Cl Ta
1 3 1
Cartesian
0.0000 0.0000 0.0000 C
-0.4575 -0.3167 2.1286 Cl
1.4308 -1.6703 0.0590 Cl
-1.6075 -1.3965 -0.5533 Cl
-0.6342 -3.3836 1.6342 Ta


Entry 13:
TaCCl PBE-GGA relaxed; space group = Pmmn; E_tot = -8.218 eV per atom; formation energy (no corrections) = -0.577 eV/atom
1.0
3.4057 0.0000 0.0000
0.0000 4.2378 0.0000
0.0000 0.0000 8.6825
C Cl Ta
2 2 2
Cartesian
0.0000 0.0000 3.8582 C
1.7028 2.1189 4.8243 C
1.7028 2.1189 1.6665 Cl
0.0000 0.0000 7.0160 Cl
1.7028 0.0000 5.0865 Ta
0.0000 2.1189 3.5960 Ta


Entry 14:
Ta2TeCCl PBE-GGA relaxed; space group = P4/mmm; E_tot = -4.641 eV per atom; formation energy (no corrections) = 2.942 eV/atom; density of states at the Fermi level = 8.07 states/eV/f.u.
1.0
-1.9201 -2.6408 -3.9504
-0.3616 -4.1738 2.9659
-4.7381 1.3877 1.3753
Cl Te C Ta
1 1 1 2
Cartesian
-0.1808 -2.0869 1.4830 Cl
0.0000 0.0000 0.0000 Te
-3.5099 -2.7135 0.1954 C
-2.3690 0.6938 0.6876 Ta
-0.9600 -1.3204 -1.9752 Ta


Entry 15:
TaZn2CCl PBE-GGA relaxed; space group = P4/mmm; E_tot = -3.201 eV per atom; formation energy (no corrections) = 1.893 eV/atom; density of states at the Fermi level = 3.49 states/eV/f.u.
1.0
-1.6455 3.4169 -3.2975
-1.7806 -2.4515 -1.6517
-3.9780 0.9139 2.9320
C Zn Cl Ta
1 2 1 1
Cartesian
-0.8903 -1.2258 -0.8259 C
-0.8227 1.7084 -1.6488 Zn
-1.9890 0.4569 1.4660 Zn
0.0000 0.0000 0.0000 Cl
-3.7020 0.9396 -1.0086 Ta


Entry 16:
ZrTaCCl2 PBE-GGA relaxed; space group = P4/mmm; E_tot = -5.068 eV per atom; formation energy (no corrections) = 1.596 eV/atom; density of states at the Fermi level = 5.61 states/eV/f.u.
1.0
-4.2449 1.2288 1.6085
0.1694 -4.3310 3.7557
2.0194 2.8273 3.1693
Cl Zr Ta C
2 1 1 1
Cartesian
1.0097 1.4137 1.5847 Cl
-2.1224 0.6144 0.8043 Cl
0.0000 0.0000 0.0000 Zr
0.0847 -2.1655 1.8779 Ta
-1.0280 -0.1374 4.2668 C


Entry 17:
Tb3CCl3 PBE-GGA relaxed; space group = P2_1/m; E_tot = -5.639 eV per atom; formation energy (no corrections) = -1.546 eV/atom; density of states at the Fermi level = 1.40 states/eV/f.u.
1.0
-3.6426 0.5476 -0.5395
-0.8664 -7.6885 -1.9541
-1.8480 -1.9119 10.5364
Tb C Cl
6 2 6
Cartesian
-3.5327 -1.0366 3.5325 Tb
-1.9620 -6.8932 -0.1721 Tb
-2.8244 -8.0162 4.5103 Tb
-4.0126 -5.5133 2.2286 Tb
-2.3445 -3.5394 5.8142 Tb
-4.3950 -2.1595 8.2149 Tb
-3.9931 -1.7528 5.9141 C
-2.3639 -7.3000 2.1286 C
-3.5031 -4.6303 -0.3149 Cl
-3.2876 -8.2560 7.3945 Cl
-1.9271 -3.4861 3.0502 Cl
-2.8539 -4.4224 8.3576 Cl
-3.0694 -0.7967 0.6483 Cl
-4.4300 -5.5666 4.9926 Cl


Entry 18:
Tb2CCl3 PBE-GGA relaxed; space group = C2/m; E_tot = -5.585 eV per atom; formation energy (no corrections) = -1.581 eV/atom; density of states at the Fermi level = 0.37 states/eV/f.u.
1.0
3.9547 0.0000 0.0000
1.9774 8.5606 0.1513
1.9774 2.1800 8.4779
Cl Tb C
6 4 2
Cartesian
5.9321 7.8792 1.8909 Cl
3.9547 5.1105 8.4376 Cl
3.9547 5.6301 0.1917 Cl
1.9774 2.8613 6.7383 Cl
1.9774 2.2871 3.2301 Cl
5.9321 8.4535 5.3991 Cl
3.9547 3.1894 4.9467 Tb
3.9547 7.5511 3.6825 Tb
1.9774 4.9030 2.1194 Tb
5.9321 5.8376 6.5099 Tb
3.9547 5.3028 3.5564 C
3.9547 5.4378 5.0729 C


Entry 19:
Tb3C2Cl2 PBE-GGA relaxed; space group = P-1; E_tot = -6.054 eV per atom; formation energy (no corrections) = -0.906 eV/atom; density of states at the Fermi level = 3.80 states/eV/f.u.
1.0
-0.6924 -3.3819 -0.9652
6.1589 0.2829 1.3213
-2.6035 -1.3358 6.5404
Cl C Tb
2 2 3
Cartesian
0.5134 -0.8598 2.6780 Cl
2.3497 -3.5751 4.2185 Cl
-1.2056 -3.3155 5.8382 C
4.0687 -1.1194 1.0583 C
0.0000 0.0000 0.0000 Tb
2.2688 -2.7438 1.3748 Tb
0.5943 -1.6911 5.5217 Tb


Entry 20:
Tb4C2Cl PBE-GGA relaxed; space group = R-3m; E_tot = -6.277 eV per atom; formation energy (no corrections) = -0.732 eV/atom; density of states at the Fermi level = 4.00 states/eV/f.u.
1.0
3.6317 0.0000 0.0000
1.8159 3.1452 0.0000
1.8159 1.0484 13.1635
Tb C Cl
4 2 1
Cartesian
5.4476 3.1452 11.0158 Tb
1.8159 1.0484 8.3447 Tb
1.8159 1.0484 2.1477 Tb
5.4476 3.1452 4.8188 Tb
3.6317 2.0968 3.4019 C
3.6317 2.0968 9.7616 C
0.0000 0.0000 0.0000 Cl


Entry 21:
Tb3TeCCl PBE-GGA relaxed; space group = P2_1/m; E_tot = -5.710 eV per atom; formation energy (no corrections) = -1.026 eV/atom; density of states at the Fermi level = 2.32 states/eV/f.u.
1.0
3.8710 0.0000 0.0000
0.0000 8.2265 0.6164
0.0000 -1.6234 9.7668
C Tb Cl Te
2 6 2 2
Cartesian
2.9032 1.6166 8.6641 C
0.9677 4.9864 1.7192 C
0.9677 4.5819 4.0599 Tb
2.9032 6.6790 1.8074 Tb
0.9677 -0.0759 8.5758 Tb
2.9032 3.2416 1.4291 Tb
2.9032 2.0212 6.3234 Tb
0.9677 3.3614 8.9541 Tb
2.9032 6.4170 4.5763 Cl
0.9677 0.1860 5.8069 Cl
2.9032 5.7436 8.5223 Te
0.9677 0.8595 1.8609 Te


Entry 22:
Tb4Te2CCl PBE-GGA relaxed; space group = P2/m; E_tot = -5.605 eV per atom; formation energy (no corrections) = -1.120 eV/atom; density of states at the Fermi level = 2.91 states/eV/f.u.
1.0
-1.2026 -2.9915 2.3078
4.8459 -4.4252 -3.2107
6.0492 0.3825 3.6482
Tb Cl Te C
4 1 2 1
Cartesian
4.5639 -4.4476 0.0194 Tb
7.7962 -2.8313 0.3928 Tb
1.8963 -4.2029 2.3525 Tb
5.1286 -2.5866 2.7259 Tb
1.8217 -3.7083 -0.4515 Cl
2.4233 -1.3045 2.9780 Te
6.0492 0.3825 3.6482 Te
5.4476 -2.0213 0.2188 C


Entry 23:
Tb3TlCCl PBE-GGA relaxed; space group = P2_1/m; E_tot = -5.161 eV per atom; formation energy (no corrections) = -0.606 eV/atom; density of states at the Fermi level = 4.42 states/eV/f.u.
1.0
3.6527 0.0000 0.0000
0.0000 8.2667 0.6283
0.0000 -2.6899 10.0943
Tb Cl Tl C
6 2 2 2
Cartesian
2.7395 3.1298 1.3270 Tb
2.7395 1.5434 6.7004 Tb
0.9132 2.4470 9.3956 Tb
0.9132 4.0334 4.0222 Tb
0.9132 -0.9511 8.5998 Tb
2.7395 6.5280 2.1228 Tb
2.7395 5.9097 4.7631 Cl
0.9132 -0.3329 5.9595 Cl
0.9132 0.8489 2.6896 Tl
2.7395 4.7280 8.0330 Tl
0.9132 4.9101 1.7847 C
2.7395 0.6668 8.9379 C


Entry 24:
TbTmCCl PBE-GGA relaxed; space group = R3m; E_tot = -6.133 eV per atom; formation energy (no corrections) = -1.090 eV/atom; density of states at the Fermi level = 1.88 states/eV/f.u.
1.0
3.6114 -0.0005 -0.0001
-1.8053 3.1279 0.0000
-1.8052 -1.0422 6.8369
C Tb Cl Tm
1 1 1 1
Cartesian
-1.4641 0.8141 6.0148 C
0.3414 -0.2287 4.6444 Tb
2.1470 0.8141 2.4421 Cl
-1.4644 2.8991 0.3648 Tm


Entry 25:
TbYCCl PBE-GGA relaxed; space group = R3m; E_tot = -6.623 eV per atom; formation energy (no corrections) = -1.082 eV/atom; density of states at the Fermi level = 1.85 states/eV/f.u.
1.0
-1.4065 -0.9679 -3.2204
1.4894 -2.5216 2.1702
-5.7033 0.4372 4.4219
Cl C Tb Y
1 1 1 1
Cartesian
-2.8533 -1.7368 -0.6842 Cl
-4.5885 -1.3048 4.0690 C
-4.3697 -0.5848 1.6944 Tb
0.9615 -2.4508 1.9899 Y


Entry 26:
Tc2CCl2 PBE-GGA relaxed; space group = I4/mmm; E_tot = -5.093 eV per atom; formation energy (no corrections) = 1.636 eV/atom; density of states at the Fermi level = 4.92 states/eV/f.u.
1.0
3.8769 0.0000 0.0000
0.0000 3.8769 0.0000
1.9385 1.9385 5.5630
Tc Cl C
2 2 1
Cartesian
3.8769 3.8769 4.4950 Tc
1.9385 1.9385 1.0680 Tc
3.8769 1.9385 2.7815 Cl
1.9385 3.8769 2.7815 Cl
0.0000 0.0000 0.0000 C